Record 1
The following is a PBE calculation of a relaxed structure of ErTmHgBi, from the Alexandria database.

Unit cell a=7.5599 b=7.5599 c=7.5599 alpha=90.00 beta=90.00 gamma=90.00
Space group F-43m (No. 216)
Asymmetric unit:
Er: 0.0000 0.0000 0.0000 [4 per cell]
Tm: 0.0000 0.0000 0.5000 [4 per cell]
Hg: 0.2500 0.2500 0.7500 [4 per cell]
Bi: 0.2500 0.2500 0.2500 [4 per cell]

## Properties
E_form (eV/f.u.): -1.8

Record 2
The following is a PBE calculation of a relaxed structure of YErHgBi, from the Alexandria database.

Unit cell a=7.5923 b=7.5923 c=7.5923 alpha=90.00 beta=90.00 gamma=90.00
Space group F-43m (No. 216)
Asymmetric unit:
Y: 0.0000 0.0000 0.0000 [4 per cell]
Er: 0.0000 0.0000 0.5000 [4 per cell]
Hg: 0.2500 0.2500 0.7500 [4 per cell]
Bi: 0.2500 0.2500 0.2500 [4 per cell]

## Properties
E_form (eV/f.u.): -1.9

Record 3
The following is a PBE calculation of a relaxed structure of HoErBi2, from the Alexandria database.

Unit cell a=4.4493 b=6.2904 c=8.9008 alpha=90.00 beta=90.00 gamma=90.00
Space group Pmmn (No. 59, origin choice 2)
Asymmetric unit:
Ho: 0.2500 0.2500 0.1250 [2 per cell]
Er: 0.2500 0.2500 0.6248 [2 per cell]
Bi: 0.2500 0.7500 0.1258 [2 per cell]
Bi: 0.2500 0.7500 0.6244 [2 per cell]

## Properties
E_form (eV/f.u.): -3.3

Record 4
The following is a PBE calculation of a relaxed structure of Ho2Er5Bi5, from the Alexandria database.

Unit cell a=14.5555 b=4.4073 c=12.6116 alpha=90.00 beta=112.61 gamma=90.00
Space group C2/m (No. 12)
Asymmetric unit:
Ho: 0.0502 0.0000 0.2860 [4 per cell]
Er: 0.0000 0.5000 0.0000 [2 per cell]
Er: 0.1637 0.5000 0.5283 [4 per cell]
Er: 0.2015 0.5000 0.8283 [4 per cell]
Bi: 0.0000 0.0000 0.5000 [2 per cell]
Bi: 0.1220 0.0000 0.9425 [4 per cell]
Bi: 0.1984 0.5000 0.2804 [4 per cell]

## Properties
E_form (eV/f.u.): -6.5

Record 5
The following is a PBE calculation of a relaxed structure of Ho2ErBi4, from the Alexandria database.

Unit cell a=4.4779 b=11.2561 c=17.0241 alpha=90.00 beta=90.00 gamma=90.00
Space group Cmcm (No. 63)
Asymmetric unit:
Ho: 0.0000 0.1614 0.0741 [8 per cell]
Er: 0.0000 0.4441 0.2500 [4 per cell]
Bi: 0.0000 0.1471 0.6229 [8 per cell]
Bi: 0.0000 0.1518 0.2500 [4 per cell]
Bi: 0.0000 0.5000 0.0000 [4 per cell]

## Properties
E_form (eV/f.u.): -3.9

Record 6
The following is a PBE calculation of a relaxed structure of Ho2Er5Bi4, from the Alexandria database.

Unit cell a=24.9278 b=3.4794 c=8.0662 alpha=90.00 beta=91.50 gamma=90.00
Space group C2/m (No. 12)
Asymmetric unit:
Ho: 0.2320 0.0000 0.3232 [4 per cell]
Er: 0.0000 0.0000 0.5000 [2 per cell]
Er: 0.1388 0.5000 0.5517 [4 per cell]
Er: 0.1746 0.5000 0.9879 [4 per cell]
Bi: 0.0508 0.5000 0.8097 [4 per cell]
Bi: 0.0985 0.0000 0.2350 [4 per cell]

## Properties
E_form (eV/f.u.): -2.2

Record 7
The following is a PBE calculation of a relaxed structure of Ho3ErBi, from the Alexandria database.

Unit cell a=6.3001 b=6.7514 c=7.8632 alpha=78.37 beta=75.86 gamma=69.10
Space group P-1 (No. 2)
Asymmetric unit:
Ho: 0.0749 0.1594 0.3144 [2 per cell]
Ho: 0.1162 0.6485 0.2713 [2 per cell]
Ho: 0.3322 0.9216 0.8960 [2 per cell]
Er: 0.4853 0.2479 0.5189 [2 per cell]
Bi: 0.2992 0.4375 0.8861 [2 per cell]

## Properties
E_form (eV/f.u.): -1.3

Record 8
The following is a PBE calculation of a relaxed structure of HoEr3Bi2, from the Alexandria database.

Unit cell a=4.5279 b=4.5279 c=8.5158 alpha=90.00 beta=90.00 gamma=90.00
Space group P-4m2 (No. 115)
Asymmetric unit:
Ho: 0.0000 0.0000 0.0000 [1 per cell]
Er: 0.0000 0.5000 0.3429 [2 per cell]
Er: 0.5000 0.5000 0.0000 [1 per cell]
Bi: 0.0000 0.5000 0.7136 [2 per cell]

## Properties
E_form (eV/f.u.): -3.3